1.
VASP calculation (PBE) on a relaxed Mg4Au3 crystal.

Results
Electronic total energy: -2.7595 eV/atom
Volume: 18.15 A^3/atom
Space group: P6_3/m

a b c (Å): 7.821 7.821 4.797
angles (deg): 90.00 90.00 60.00
Fractional coordinates of all 14 atoms:
Au: 0.134 0.274 0.000
Au: 0.307 0.562 0.000
Au: 0.845 0.736 0.000
Au: 0.390 0.107 0.500
Au: 0.679 0.645 0.500
Au: 0.217 0.819 0.500
Mg: 0.545 0.158 0.000
Mg: 0.730 0.440 0.000
Mg: 0.429 0.857 0.000
Mg: 0.011 0.974 0.000
Mg: 0.979 0.223 0.500
Mg: 0.513 0.407 0.500
Mg: 0.095 0.524 0.500
Mg: 0.794 0.941 0.500

---

2.
VASP calculation (PBE) on a relaxed PrTm2Mg3Ir2Pt crystal.

Results
Magnetic moment: 0.000 μB/atom
Electronic total energy: -5.4432 eV/atom
Volume: 21.01 A^3/atom
Space group: Amm2

a b c (Å): 4.049 7.356 7.356
angles (deg): 120.32 90.00 90.00
Fractional coordinates of all 9 atoms:
Ir: 0.500 0.675 0.330
Ir: 0.500 0.330 0.675
Mg: 0.500 0.997 0.246
Mg: 0.500 0.755 0.755
Mg: 0.500 0.246 0.997
Pr: 0.000 0.417 0.417
Pt: 0.000 0.992 0.992
Tm: 0.000 0.589 0.000
Tm: 0.000 0.000 0.589

---

3.
VASP calculation (PBE) on a relaxed Y3ThAs4 crystal.

Results
Magnetic moment: 0.001 μB/atom
Electronic total energy: -7.2066 eV/atom
Volume: 25.43 A^3/atom
Space group: Cmmm

a b c (Å): 7.197 7.197 4.166
angles (deg): 90.00 90.00 109.50
Fractional coordinates of all 8 atoms:
As: 0.748 0.252 0.000
As: 0.252 0.748 0.000
As: 0.255 0.255 0.500
As: 0.745 0.745 0.500
Th: 0.000 0.000 0.000
Y: 0.500 0.500 0.000
Y: 0.500 0.000 0.500
Y: 0.000 0.500 0.500

---

- The lowest electronic total energy belongs to which entry?
  Y3ThAs4